No. 1
{"formula": "CdRuSCl2", "functional": "PBE-GGA", "state": "relaxed", "final_energy_ev_per_atom": -3.685, "e_form_raw_ev_per_atom": -0.08, "e_above_lowest_polymorph_ev_per_fu": 0.00, "cell": [[4.961, 0.000, 0.000], [0.000, 4.961, 0.000], [0.000, 0.000, 4.464]], "species": ["Cd", "Ru", "S", "Cl", "Cl"], "fractional_positions": [[0.000, 0.000, 0.000], [0.500, 0.500, 0.500], [0.500, 0.500, 0.000], [0.000, 0.500, 0.500], [0.500, 0.000, 0.500]]}



No. 2
{"formula": "RbIn4Sn2", "functional": "PBE-GGA", "state": "relaxed", "final_energy_ev_per_atom": -2.930, "ef_ev_per_atom": -0.083, "e_above_lowest_polymorph_ev_per_fu": 0.00, "cell": [[2.757, -7.966, 0.000], [2.757, 7.966, 0.000], [0.000, 0.000, 5.176]], "species": ["Rb", "In", "In", "In", "In", "Sn", "Sn"], "fractional_positions": [[0.000, 0.000, 0.000], [0.184, 0.816, 0.500], [0.299, 0.701, 0.000], [0.701, 0.299, 0.000], [0.816, 0.184, 0.500], [0.402, 0.598, 0.500], [0.598, 0.402, 0.500]]}



No. 3
{"formula": "MgReOsRh2", "functional": "PBE-GGA", "state": "relaxed", "final_energy_ev_per_atom": -6.174, "ef_ev_per_atom": 1.821, "cell": [[4.622, 0.000, 0.000], [0.000, 4.622, 0.000], [0.000, 0.000, 4.801]], "species": ["Mg", "Re", "Os", "Rh", "Rh"], "fractional_positions": [[0.000, 0.000, 0.000], [0.000, 0.000, 0.500], [0.500, 0.500, 0.000], [0.000, 0.500, 0.500], [0.500, 0.000, 0.500]]}



No. 4
{"formula": "Sm4AlIn2", "functional": "PBE-GGA", "state": "relaxed", "final_energy_ev_per_atom": -4.038, "ef_ev_per_atom": -0.024, "e_above_lowest_polymorph_ev_per_fu": 1.79, "cell": [[-2.887, 2.887, 6.642], [2.887, -2.887, 6.642], [2.887, 2.887, -6.642]], "species": ["Sm", "Sm", "Sm", "Sm", "Al", "In", "In"], "fractional_positions": [[0.000, 0.500, 0.500], [0.250, 0.750, 0.500], [0.500, 0.000, 0.500], [0.750, 0.250, 0.500], [0.000, 0.000, 0.000], [0.376, 0.376, 0.000], [0.624, 0.624, 0.000]]}



No. 5
{"formula": "PmHo2TmSe6", "functional": "PBE-GGA", "state": "relaxed", "final_energy_ev_per_atom": -5.771, "e_form_raw_ev_per_atom": -1.84, "cell": [[3.609, 2.084, 6.480], [-3.609, 2.084, 6.480], [0.000, -4.168, 6.480]], "species": ["Pm", "Ho", "Ho", "Tm", "Se", "Se", "Se", "Se", "Se", "Se"], "fractional_positions": [[0.000, 0.000, 0.000], [0.299, 0.299, 0.299], [0.802, 0.802, 0.802], [0.495, 0.495, 0.495], [0.092, 0.690, 0.412], [0.207, 0.588, 0.896], [0.412, 0.092, 0.690], [0.588, 0.896, 0.207], [0.690, 0.412, 0.092], [0.896, 0.207, 0.588]]}



No. 6
{"formula": "CaThCu2", "functional": "PBE-GGA", "state": "relaxed", "final_energy_ev_per_atom": -4.444, "ef_ev_per_atom": -0.040, "e_above_lowest_polymorph_ev_per_fu": 0.12, "cell": [[0.000, 3.553, 3.553], [3.553, 0.000, 3.553], [3.553, 3.553, 0.000]], "species": ["Ca", "Th", "Cu", "Cu"], "fractional_positions": [[0.000, 0.000, 0.000], [0.500, 0.500, 0.500], [0.250, 0.250, 0.250], [0.750, 0.750, 0.750]]}



No. 7
{"formula": "Zr4C3N", "functional": "PBE-GGA", "state": "relaxed", "final_energy_ev_per_atom": -9.835, "e_form_raw_ev_per_atom": -1.06, "cell": [[4.697, 0.000, 0.000], [0.000, 4.697, 0.000], [0.000, 0.000, 4.697]], "species": ["Zr", "Zr", "Zr", "Zr", "C", "C", "C", "N"], "fractional_positions": [[0.000, 0.000, 0.000], [0.000, 0.500, 0.500], [0.500, 0.000, 0.500], [0.500, 0.500, 0.000], [0.000, 0.000, 0.500], [0.000, 0.500, 0.000], [0.500, 0.000, 0.000], [0.500, 0.500, 0.500]]}



No. 8
{"formula": "Y2PPb", "functional": "PBE-GGA", "state": "relaxed", "final_energy_ev_per_atom": -6.211, "ef_ev_per_atom": -0.699, "e_above_lowest_polymorph_ev_per_fu": 1.54, "cell": [[-2.049, 3.001, 4.261], [2.049, -3.001, 4.261], [2.049, 3.001, -4.261]], "species": ["Y", "Y", "P", "Pb"], "fractional_positions": [[0.219, 0.219, 0.000], [0.781, 0.781, 0.000], [0.000, 0.500, 0.500], [0.500, 0.000, 0.500]]}



No. 9
{"formula": "SrWSe", "functional": "PBE-GGA", "state": "relaxed", "final_energy_ev_per_atom": -4.678, "e_form_raw_ev_per_atom": 1.36, "e_above_lowest_polymorph_ev_per_fu": 3.71, "cell": [[0.000, 3.689, 3.689], [3.689, 0.000, 3.689], [3.689, 3.689, 0.000]], "species": ["Sr", "W", "Se"], "fractional_positions": [[0.000, 0.000, 0.000], [0.250, 0.250, 0.250], [0.750, 0.750, 0.750]]}



No. 10
{"formula": "RbTi3Te6", "functional": "PBE-GGA", "state": "relaxed", "final_energy_ev_per_atom": -5.057, "e_form_raw_ev_per_atom": -0.71, "cell": [[12.541, 0.000, 0.000], [0.000, 3.846, 0.000], [-3.517, 0.000, 12.127]], "species": ["Rb", "Rb", "Ti", "Ti", "Ti", "Ti", "Ti", "Ti", "Te", "Te", "Te", "Te", "Te", "Te", "Te", "Te", "Te", "Te", "Te", "Te"], "fractional_positions": [[0.113, 0.250, 0.384], [0.887, 0.750, 0.616], [0.151, 0.250, 0.041], [0.307, 0.750, 0.734], [0.472, 0.750, 0.350], [0.528, 0.250, 0.650], [0.693, 0.250, 0.266], [0.849, 0.750, 0.959], [0.043, 0.750, 0.135], [0.148, 0.250, 0.667], [0.246, 0.750, 0.942], [0.324, 0.250, 0.242], [0.372, 0.750, 0.537], [0.460, 0.250, 0.840], [0.540, 0.750, 0.160], [0.628, 0.250, 0.463], [0.676, 0.750, 0.758], [0.754, 0.250, 0.058], [0.852, 0.750, 0.333], [0.957, 0.250, 0.865]]}



No. 11
{"formula": "TmCd12Ag6", "functional": "PBE-GGA", "state": "relaxed", "final_energy_ev_per_atom": -1.768, "ef_ev_per_atom": -0.055, "e_above_lowest_polymorph_ev_per_fu": 0.00, "cell": [[5.144, 2.970, 4.415], [-5.144, 2.970, 4.415], [0.000, -5.940, 4.415]], "species": ["Tm", "Cd", "Cd", "Cd", "Cd", "Cd", "Cd", "Cd", "Cd", "Cd", "Cd", "Cd", "Cd", "Ag", "Ag", "Ag", "Ag", "Ag", "Ag"], "fractional_positions": [[0.000, 0.000, 0.000], [0.035, 0.161, 0.379], [0.161, 0.379, 0.035], [0.201, 0.473, 0.572], [0.379, 0.035, 0.161], [0.428, 0.799, 0.527], [0.473, 0.572, 0.201], [0.527, 0.428, 0.799], [0.572, 0.201, 0.473], [0.621, 0.965, 0.839], [0.799, 0.527, 0.428], [0.839, 0.621, 0.965], [0.965, 0.839, 0.621], [0.114, 0.719, 0.268], [0.268, 0.114, 0.719], [0.281, 0.732, 0.886], [0.719, 0.268, 0.114], [0.732, 0.886, 0.281], [0.886, 0.281, 0.732]]}



No. 12
{"formula": "Rh3W", "functional": "PBE-GGA", "state": "relaxed", "final_energy_ev_per_atom": -8.976, "ef_ev_per_atom": -0.224, "cell": [[3.869, 0.000, 0.000], [0.000, 3.869, 0.000], [0.000, 0.000, 3.869]], "species": ["Rh", "Rh", "Rh", "W"], "fractional_positions": [[0.000, 0.000, 0.500], [0.000, 0.500, 0.000], [0.500, 0.000, 0.000], [0.500, 0.500, 0.500]]}